# 1
A relaxed CaMo3 crystal. Source: Alexandria, functional PBE-GGA.

The calculation puts the energy above the lowest structure with this stoichiometry at 259 meV per atom. As for the crystal system: orthorhombic. The value obtained for the formation energy is 0.732 eV/atom. For the final energy, the calculation gives -31.57 eV/cell.

Cell lengths 2.650, 4.680, 5.948 Å; angles 90.00, 90.00, 90.00 degrees
Element x y z (fractional)
Ca1 0.000 0.000 0.000
Mo1 0.000 0.500 0.299
Mo2 0.500 0.000 0.503
Mo3 0.500 0.500 0.735


# 2
A relaxed TaMo2Ir crystal. Source: Alexandria, functional PBE-GGA.

The calculation puts the energy above the lowest structure with this stoichiometry at 114 meV per atom. As for the crystal system: tetragonal. The value obtained for the formation energy is -0.040 eV/atom. For the final energy, the calculation gives -42.54 eV/cell.

Cell lengths 4.373, 4.373, 3.367 Å; angles 90.00, 90.00, 90.00 degrees
Element x y z (fractional)
Ta1 0.000 0.000 0.000
Mo1 0.000 0.500 0.500
Mo2 0.500 0.000 0.500
Ir1 0.500 0.500 0.000


# 3
A relaxed ReAg3C crystal. Source: Alexandria, functional PBE-GGA.

The calculation puts the energy above the lowest structure with this stoichiometry at 0 meV per atom. As for the crystal system: cubic. The value obtained for the formation energy is 1.632 eV/atom. For the final energy, the calculation gives -22.07 eV/cell.

Cell lengths 4.260, 4.260, 4.260 Å; angles 90.00, 90.00, 90.00 degrees
Element x y z (fractional)
Re1 0.000 0.000 0.000
Ag1 0.000 0.500 0.500
Ag2 0.500 0.000 0.500
Ag3 0.500 0.500 0.000
C1 0.500 0.500 0.500


# 4
A relaxed ScBeRe2W crystal. Source: Alexandria, functional PBE-GGA.

As for the crystal system: tetragonal. The value obtained for the formation energy is 0.561 eV/atom. For the final energy, the calculation gives -45.10 eV/cell.

Cell lengths 4.261, 4.261, 4.294 Å; angles 90.00, 90.00, 90.00 degrees
Element x y z (fractional)
Sc1 0.000 0.000 0.000
Be1 0.500 0.500 0.500
Re1 0.000 0.500 0.500
Re2 0.500 0.000 0.500
W1 0.500 0.500 0.000